Density functional theory data (PBE) for a relaxed structure of ZrAlHgAs2.

## Properties
volume	120.5	Å³ per cell
theoretical density	6.5	g cm⁻³
energy relative to the elements	467	meV per atom
space group	P4/mmm
size of the total moment	0.000	μB per formula unit

Lattice parameters (Å, degrees): 4.751 5.341 4.751 90.00 90.00 90.00
Sites, in units of the cell vectors:
1 As 0.000 0.000 0.500
2 As 0.500 0.000 0.000
3 Hg 0.500 0.500 0.500
4 Zr 0.000 0.500 0.000
5 Al 0.000 0.000 0.000

***

Density functional theory data (PBE) for a relaxed structure of Zn2SiNi.

## Properties
volume	134.5	Å³ per cell
theoretical density	5.4	g cm⁻³
formation energy (no corrections)	0.203	eV/atom
space group	I-42d
size of the total moment	0.000	μB per formula unit

Lattice parameters (Å, degrees): 7.851 7.851 5.965 48.85 48.85 90.00
Sites, in units of the cell vectors:
1 Ni 0.000 0.000 0.000
2 Ni 0.750 0.250 0.500
3 Zn 0.714 0.125 0.250
4 Zn 0.036 0.625 0.250
5 Zn 0.375 0.286 0.750
6 Zn 0.875 0.964 0.750
7 Si 0.500 0.500 0.000
8 Si 0.250 0.750 0.500

***

Density functional theory data (PBE) for a relaxed structure of Tb4Sm4Y5.

## Properties
volume	423.5	Å³ per cell
theoretical density	6.6	g cm⁻³
energy relative to the elements	16	meV per atom
space group	I4/m
size of the total moment	0.000	μB per formula unit

Lattice parameters (Å, degrees): 5.060 9.492 9.492 85.93 74.54 74.54
Sites, in units of the cell vectors:
1 Tb 0.769 0.385 0.076
2 Tb 0.231 0.615 0.924
3 Tb 0.846 0.924 0.385
4 Tb 0.154 0.076 0.615
5 Sm 0.923 0.461 0.694
6 Sm 0.616 0.306 0.461
7 Sm 0.077 0.539 0.306
8 Sm 0.384 0.694 0.539
9 Y 0.692 0.847 0.770
10 Y 0.308 0.153 0.230
11 Y 0.000 0.000 0.000
12 Y 0.538 0.770 0.153
13 Y 0.462 0.230 0.847